The following is a GGA-PBE calculation of crystalline MgCr2Pt at its relaxed geometry, from Alexandria.

abc: 4.404 4.404 4.404
angles: 60.00 60.00 60.00
Atoms (fractional coordinates):
Mg  0.000  0.000  0.000
Cr  0.250  0.250  0.250
Cr  0.500  0.500  0.500
Pt  0.750  0.750  0.750

Computed properties:
DOS(E_F) = 0.463 states/eV/atom
Uncorrected energy = -6.8123 eV/atom
Space-group type = F-43m

The following is a GGA-PBE calculation of crystalline ScInI3 at its relaxed geometry, from Alexandria.

abc: 5.818 5.818 5.818
angles: 90.00 90.00 90.00
Atoms (fractional coordinates):
Sc  0.000  0.000  0.000
In  0.500  0.500  0.500
I  0.000  0.000  0.500
I  0.000  0.500  0.000
I  0.500  0.000  0.000

Computed properties:
ΔE_f (raw) = -0.69 eV per atom
DOS(E_F) = 0.678 states/eV/atom
Uncorrected energy = -3.4329 eV/atom
Energy above the most stable polymorph in this dataset = 0.0 kJ/mol of atoms
Space-group type = Pm-3m

The following is a GGA-PBE calculation of crystalline GaSbPb2 at its relaxed geometry, from Alexandria.

abc: 5.451 5.451 5.451
angles: 60.00 60.00 60.00
Atoms (fractional coordinates):
Ga  0.000  0.000  0.000
Sb  0.500  0.500  0.500
Pb  0.250  0.250  0.250
Pb  0.750  0.750  0.750

Computed properties:
ΔE_f (raw) = 0.10 eV per atom
DOS(E_F) = 0.576 states/eV/atom
Uncorrected energy = -3.5385 eV/atom
Energy above the most stable polymorph in this dataset = 4.3 kJ/mol of atoms
Space-group type = Fm-3m

The following is a GGA-PBE calculation of crystalline Pa2CrC at its relaxed geometry, from Alexandria.

abc: 8.026 8.026 8.026
angles: 23.63 23.63 23.63
Atoms (fractional coordinates):
Pa  0.101  0.101  0.101
Pa  0.899  0.899  0.899
Cr  0.000  0.000  0.000
C  0.500  0.500  0.500

Computed properties:
DOS(E_F) = 1.326 states/eV/atom
Uncorrected energy = -9.1429 eV/atom
Space-group type = R-3m

The following is a GGA-PBE calculation of crystalline HfGa2Hg2 at its relaxed geometry, from Alexandria.

abc: 8.602 8.602 8.602
angles: 155.58 155.58 34.81
Atoms (fractional coordinates):
Hf  0.000  0.000  0.000
Ga  0.250  0.750  0.500
Ga  0.750  0.250  0.500
Hg  0.398  0.398  0.000
Hg  0.602  0.602  0.000

Computed properties:
DOS(E_F) = 0.412 states/eV/atom
Uncorrected energy = -3.1313 eV/atom
Energy above the most stable polymorph in this dataset = 8.7 kJ/mol of atoms
Space-group type = I4/mmm

The following is a GGA-PBE calculation of crystalline SiBS2Cl at its relaxed geometry, from Alexandria.

abc: 4.235 4.235 4.309
angles: 90.00 90.00 90.00
Atoms (fractional coordinates):
Si  0.000  0.000  0.000
B  0.500  0.500  0.500
S  0.000  0.500  0.500
S  0.500  0.000  0.500
Cl  0.500  0.500  0.000

Computed properties:
ΔE_f (raw) = 0.64 eV per atom
DOS(E_F) = 0.304 states/eV/atom
Uncorrected energy = -3.7958 eV/atom
Energy above the most stable polymorph in this dataset = 0.0 kJ/mol of atoms
Space-group type = P4/mmm

The following is a GGA-PBE calculation of crystalline HoTh2Hg4 at its relaxed geometry, from Alexandria.

abc: 8.343 8.343 8.343
angles: 144.06 144.06 51.74
Atoms (fractional coordinates):
Ho  0.000  0.000  0.000
Th  0.258  0.258  0.000
Th  0.742  0.742  0.000
Hg  0.108  0.608  0.500
Hg  0.392  0.892  0.500
Hg  0.608  0.108  0.500
Hg  0.892  0.392  0.500

Computed properties:
DOS(E_F) = 1.129 states/eV/atom
Uncorrected energy = -3.1398 eV/atom
Space-group type = I4/mmm

The following is a GGA-PBE calculation of crystalline AlBiF3 at its relaxed geometry, from Alexandria.

abc: 4.182 4.182 4.182
angles: 90.00 90.00 90.00
Atoms (fractional coordinates):
Al  0.000  0.000  0.000
Bi  0.500  0.500  0.500
F  0.000  0.000  0.500
F  0.000  0.500  0.000
F  0.500  0.000  0.000

Computed properties:
ΔE_f (raw) = -1.72 eV per atom
DOS(E_F) = 0.411 states/eV/atom
Uncorrected energy = -4.3664 eV/atom
Energy above the most stable polymorph in this dataset = 0.0 kJ/mol of atoms
Space-group type = Pm-3m

The following is a GGA-PBE calculation of crystalline Cs3U3AlSe8 at its relaxed geometry, from Alexandria.

abc: 9.810 9.810 9.810
angles: 50.34 50.34 50.34
Atoms (fractional coordinates):
Cs  0.000  0.500  0.500
Cs  0.500  0.000  0.500
Cs  0.500  0.500  0.000
U  0.000  0.000  0.500
U  0.000  0.500  0.000
U  0.500  0.000  0.000
Al  0.500  0.500  0.500
Se  0.230  0.230  0.230
Se  0.244  0.714  0.714
Se  0.286  0.286  0.756
Se  0.286  0.756  0.286
Se  0.714  0.244  0.714
Se  0.714  0.714  0.244
Se  0.756  0.286  0.286
Se  0.770  0.770  0.770

Computed properties:
ΔE_f (raw) = -1.14 eV per atom
DOS(E_F) = 1.084 states/eV/atom
Uncorrected energy = -5.6725 eV/atom
Space-group type = R-3m

The following is a GGA-PBE calculation of crystalline LaHgSeBr2 at its relaxed geometry, from Alexandria.

abc: 5.495 5.495 5.366
angles: 90.00 90.00 90.00
Atoms (fractional coordinates):
La  0.000  0.000  0.000
Hg  0.500  0.500  0.500
Se  0.500  0.500  0.000
Br  0.000  0.500  0.500
Br  0.500  0.000  0.500

Computed properties:
ΔE_f (raw) = -0.53 eV per atom
DOS(E_F) = 1.328 states/eV/atom
Uncorrected energy = -2.9410 eV/atom
Energy above the most stable polymorph in this dataset = 53.6 kJ/mol of atoms
Space-group type = P4/mmm

The following is a GGA-PBE calculation of crystalline TaTlNi2 at its relaxed geometry, from Alexandria.

abc: 4.409 4.409 4.409
angles: 60.00 60.00 60.00
Atoms (fractional coordinates):
Ta  0.000  0.000  0.000
Tl  0.500  0.500  0.500
Ni  0.250  0.250  0.250
Ni  0.750  0.750  0.750

Computed properties:
DOS(E_F) = 0.532 states/eV/atom
Uncorrected energy = -6.3394 eV/atom
Energy above the most stable polymorph in this dataset = 8.8 kJ/mol of atoms
Space-group type = Fm-3m

The following is a GGA-PBE calculation of crystalline LaNdSbN at its relaxed geometry, from Alexandria.

abc: 4.747 4.747 9.347
angles: 90.00 90.00 90.00
Atoms (fractional coordinates):
La  0.250  0.750  0.000
La  0.750  0.250  0.000
Nd  0.250  0.250  0.333
Nd  0.750  0.750  0.667
Sb  0.250  0.250  0.695
Sb  0.750  0.750  0.305
N  0.250  0.250  0.089
N  0.750  0.750  0.911

Computed properties:
ΔE_f (raw) = -1.28 eV per atom
DOS(E_F) = 0.106 states/eV/atom
Uncorrected energy = -6.8191 eV/atom
Space-group type = P4/nmm

The following is a GGA-PBE calculation of crystalline CaCuPd at its relaxed geometry, from Alexandria.

abc: 5.409 5.409 5.409
angles: 142.72 142.72 53.75
Atoms (fractional coordinates):
Ca  0.000  0.000  0.000
Cu  0.700  0.700  0.000
Pd  0.306  0.306  0.000

Computed properties:
DOS(E_F) = 0.543 states/eV/atom
Uncorrected energy = -4.0588 eV/atom
Energy above the most stable polymorph in this dataset = 20.0 kJ/mol of atoms
Space-group type = I4mm

The following is a GGA-PBE calculation of crystalline CaTl2Ir at its relaxed geometry, from Alexandria.

abc: 5.175 5.175 5.161
angles: 111.29 111.29 47.23
Atoms (fractional coordinates):
Ca  0.000  0.000  0.000
Tl  0.226  0.226  0.705
Tl  0.774  0.774  0.295
Ir  0.500  0.500  0.500

Computed properties:
DOS(E_F) = 0.424 states/eV/atom
Uncorrected energy = -3.9113 eV/atom
Space-group type = C2/m

The following is a GGA-PBE calculation of crystalline Pu2HfZr at its relaxed geometry, from Alexandria.

abc: 5.365 5.365 3.307
angles: 90.00 90.00 90.00
Atoms (fractional coordinates):
Pu  0.000  0.500  0.000
Pu  0.500  0.000  0.000
Hf  0.000  0.000  0.500
Zr  0.500  0.500  0.500

Computed properties:
DOS(E_F) = 2.970 states/eV/atom
Uncorrected energy = -11.5179 eV/atom
Energy above the most stable polymorph in this dataset = 9.1 kJ/mol of atoms
Space-group type = P4/mmm

The following is a GGA-PBE calculation of crystalline TaP2Pt at its relaxed geometry, from Alexandria.

abc: 2.937 2.937 8.059
angles: 90.00 90.00 90.00
Atoms (fractional coordinates):
Ta  0.000  0.000  0.000
P  0.000  0.000  0.567
P  0.500  0.500  0.207
Pt  0.500  0.500  0.746

Computed properties:
DOS(E_F) = 0.738 states/eV/atom
Uncorrected energy = -7.2464 eV/atom
Energy above the most stable polymorph in this dataset = 44.9 kJ/mol of atoms
Space-group type = P4mm

The following is a GGA-PBE calculation of crystalline LaTbTePb at its relaxed geometry, from Alexandria.

abc: 7.848 7.848 7.848
angles: 33.71 33.71 33.71
Atoms (fractional coordinates):
La  0.000  0.000  0.000
Tb  0.505  0.505  0.505
Te  0.757  0.757  0.757
Pb  0.249  0.249  0.249

Computed properties:
ΔE_f (raw) = -1.03 eV per atom
DOS(E_F) = 0.364 states/eV/atom
Uncorrected energy = -5.1310 eV/atom
Space-group type = R3m

The following is a GGA-PBE calculation of crystalline CdSi2Se at its relaxed geometry, from Alexandria.

abc: 11.551 11.551 11.551
angles: 14.03 14.03 14.03
Atoms (fractional coordinates):
Cd  0.000  0.000  0.000
Si  0.257  0.257  0.257
Si  0.743  0.743  0.743
Se  0.500  0.500  0.500

Computed properties:
ΔE_f (raw) = 0.53 eV per atom
DOS(E_F) = 0.103 states/eV/atom
Uncorrected energy = -3.2857 eV/atom
Energy above the most stable polymorph in this dataset = 47.7 kJ/mol of atoms
Space-group type = R-3m

The following is a GGA-PBE calculation of crystalline Ni3C4 at its relaxed geometry, from Alexandria.

abc: 5.398 5.398 2.549
angles: 90.00 90.00 120.00
Atoms (fractional coordinates):
Ni  0.000  0.500  0.000
Ni  0.500  0.000  0.000
Ni  0.500  0.500  0.000
C  0.000  0.000  0.251
C  0.000  0.000  0.749
C  0.333  0.667  0.500
C  0.667  0.333  0.500

Computed properties:
DOS(E_F) = 0.988 states/eV/atom
Uncorrected energy = -6.8484 eV/atom
Energy above the most stable polymorph in this dataset = 0.0 kJ/mol of atoms
Space-group type = P6/mmm

The following is a GGA-PBE calculation of crystalline PuAsH at its relaxed geometry, from Alexandria.

abc: 7.451 7.451 7.451
angles: 148.26 148.17 45.56
Atoms (fractional coordinates):
Pu  0.135  0.135  0.000
Pu  0.865  0.865  0.000
As  0.347  0.347  0.000
As  0.653  0.653  0.000
H  0.243  0.000  0.243
H  0.757  0.000  0.757

Computed properties:
DOS(E_F) = 3.964 states/eV/atom
Uncorrected energy = -7.7341 eV/atom
Energy above the most stable polymorph in this dataset = 29.2 kJ/mol of atoms
Space-group type = Immm